No. 1
Entry from Alexandria: an optimized crystal structure of TaS3 (GGA-PBE).

Summary:
E_form (uncorrected)	-771	meV per atom
M_tot	0.0	μB per cell
calculated density	5.842	g cm⁻³
electronic total energy	-6.830	eV per atom
symmetry	P2_1/m

a = 3.3656 Å, b = 5.0012 Å, c = 9.4250 Å
α = 96.74°, β = 90.00°, γ = 90.00°
Element x y z (fractional)
Ta 0.2500 0.2856 0.6601
Ta 0.7500 0.7144 0.3399
S 0.7500 0.2406 0.4572
S 0.2500 0.9299 0.1946
S 0.7500 0.0701 0.8054
S 0.2500 0.7594 0.5428
S 0.7500 0.5652 0.8055
S 0.2500 0.4348 0.1945

=====

No. 2
Entry from Alexandria: an optimized crystal structure of MnTc2Br (GGA-PBE).

Summary:
E_form (uncorrected)	618	meV per atom
M_tot	3.6	μB per cell
calculated density	8.135	g cm⁻³
electronic total energy	-7.276	eV per atom
excess energy over the best structure of this formula in the dataset	317	meV per atom
symmetry	Cmm2

a = 2.9270 Å, b = 2.9270 Å, c = 8.6689 Å
α = 90.00°, β = 90.00°, γ = 114.60°
Each line ends with the local moment (μB).
Element x y z (fractional)
Tc 0.5000 0.5000 0.2203  -0.08
Tc 0.0000 0.0000 0.0000  -0.15
Mn 0.5000 0.5000 0.7604  3.63
Br 0.0000 0.0000 0.5193  0.09

=====

No. 3
Entry from Alexandria: an optimized crystal structure of Pm4Sn6Rh7 (GGA-PBE).

Summary:
M_tot	0.0	μB per cell
calculated density	9.508	g cm⁻³
electronic total energy	-6.337	eV per atom
energy relative to the elements	-780	meV per atom
symmetry	Im-3m

a = 7.7004 Å, b = 7.7004 Å, c = 7.7004 Å
α = 109.47°, β = 109.47°, γ = 109.47°
Element x y z (fractional)
Sn 0.3194 0.0000 0.3194
Sn 0.0000 0.6806 0.6806
Sn 0.6806 0.0000 0.6806
Sn 0.6806 0.6806 0.0000
Sn 0.0000 0.3194 0.3194
Sn 0.3194 0.3194 0.0000
Rh 0.5000 0.7500 0.2500
Rh 0.2500 0.7500 0.5000
Rh 0.2500 0.5000 0.7500
Rh 0.7500 0.2500 0.5000
Rh 0.7500 0.5000 0.2500
Rh 0.0000 0.0000 0.0000
Rh 0.5000 0.2500 0.7500
Pm 0.5000 0.5000 0.5000
Pm 0.5000 0.0000 0.0000
Pm 0.0000 0.5000 0.0000
Pm 0.0000 0.0000 0.5000